SrZnNiP2O8 | GGA+U | relaxed

Values from the calculation:
Space group: No. 2
Electronic total energy, eV per atom: -6.523
Magnetic moment, μB per formula unit: 2.0
Calculated volume, Å³/cell: 318

a b c (Å): 5.4738 6.9658 9.3661
angles (deg): 110.66 101.80 98.13
Last column: nearest neighbours and their distance in Å.
Fractional positions:
1 Sr 0.2453 0.2988 0.0497  7 O 2.55-2.72
2 Sr 0.7547 0.7012 0.9503  7 O 2.55-2.72
3 Zn 0.0136 0.1185 0.3543  4 O 1.96-2.06
4 Zn 0.9864 0.8815 0.6457  4 O 1.96-2.06
5 Ni 0.3620 0.6475 0.4389  6 O 2.03-2.17
6 Ni 0.6380 0.3525 0.5611  6 O 2.03-2.17
7 P 0.1572 0.4766 0.6976  4 O 1.52-1.58
8 P 0.3986 0.9238 0.2352  4 O 1.54-1.59
9 P 0.6014 0.0762 0.7648  4 O 1.54-1.59
10 P 0.8428 0.5234 0.3024  4 O 1.52-1.58
11 O 0.0054 0.7503 0.4221  1 P 1.58
12 O 0.0477 0.3840 0.3032  1 P 1.58
13 O 0.1956 0.9459 0.1043  1 P 1.54
14 O 0.2637 0.4966 0.8667  1 P 1.52
15 O 0.3294 0.0279 0.7891  1 P 1.56
16 O 0.3393 0.7018 0.2369  1 P 1.54
17 O 0.3784 0.0909 0.3964  1 P 1.59
18 O 0.3781 0.5459 0.6302  1 P 1.57
19 O 0.6219 0.4541 0.3698  1 P 1.57
20 O 0.6216 0.9091 0.6036  1 P 1.59
21 O 0.6607 0.2982 0.7631  1 P 1.54
22 O 0.6706 0.9721 0.2109  1 P 1.56
23 O 0.7363 0.5034 0.1333  1 P 1.52
24 O 0.8044 0.0541 0.8957  1 P 1.54
25 O 0.9523 0.6160 0.6968  1 P 1.58
26 O 0.9946 0.2497 0.5779  1 P 1.58